1.
# CuSnCl

A relaxed structure of CuSnCl (PBE, Alexandria).

Results
N(E_F) in states/eV per atom: 0.1263
E_form (uncorrected) in eV per atom: -0.26
Mass density in g cm⁻³: 5.10
E in eV/atom: -3.578

Cell: 11.696 3.741 6.573 Å, 90.00 99.68 90.00°
Space group Cm (No. 8)
Unique sites:
Cu  0.000  0.000  0.000
Cu  0.206  0.000  0.205
Sn  0.002  0.500  0.717
Sn  0.055  0.500  0.288
Cl  0.280  0.000  0.564
Cl  0.301  0.500  0.074


2.
# Cu2Sn3Cl8

A relaxed structure of Cu2Sn3Cl8 (PBE, Alexandria).

Results
E_form (uncorrected) in eV per atom: -0.80
Mass density in g cm⁻³: 3.32
E in eV/atom: -3.487

Cell: 13.757 8.290 7.161 Å, 90.00 109.89 90.00°
Space group C2/m (No. 12)
Unique sites:
Cu  0.107  0.000  0.075
Sn  0.000  0.239  0.500
Sn  0.000  0.500  0.000
Cl  0.118  0.500  0.736
Cl  0.119  0.237  0.237
Cl  0.124  0.000  0.771